# ReBW

A relaxed ReBW crystal (GGA-PBE, OQMD via LeMat-Bulk).

The structure in extended XYZ format:
```
12
Lattice="6.734 0.000 0.000 0.000 2.937 0.000 0.000 0.000 7.403" Properties=species:S:1:pos:R:3 pbc="T T T"
Re 1.067 0.734 0.333
Re 2.300 2.203 4.034
Re 4.434 0.734 3.368
Re 5.667 2.203 7.070
B 1.492 2.203 6.139
B 1.875 0.734 2.438
B 4.859 2.203 4.965
B 5.242 0.734 1.263
W 0.017 0.734 4.921
W 3.350 2.203 1.220
W 3.384 0.734 6.183
W 6.717 2.203 2.482
```

## Properties
* energy above the lowest structure with this stoichiometry: 0 meV per atom
* space-group type: No. 62
* energy: -10.8674 eV/atom

***

# Pr3In3AgPt2

A relaxed Pr3In3AgPt2 crystal (GGA-PBE, OQMD via LeMat-Bulk).

The structure in extended XYZ format:
```
9
Lattice="7.873 0.000 0.000 -3.936 6.818 0.000 0.000 0.000 4.063" Properties=species:S:1:pos:R:3 pbc="T T T"
Pr -1.634 2.830 0.000
Pr 3.268 0.000 0.000
Pr 2.303 3.988 0.000
In -2.916 5.051 2.032
In 1.020 1.767 2.032
In 5.833 0.000 2.032
Ag 0.000 0.000 0.000
Pt 0.000 4.545 2.032
Pt 3.936 2.273 2.032
```

## Properties
* space-group type: No. 189
* energy: -4.9490 eV/atom

***

# MgZnSe2

A relaxed MgZnSe2 crystal (GGA-PBE, OQMD via LeMat-Bulk).

The structure in extended XYZ format:
```
4
Lattice="4.143 0.000 0.000 -2.072 3.588 0.000 0.000 0.000 6.771" Properties=species:S:1:pos:R:3 pbc="T T T"
Mg 0.000 0.000 0.000
Zn 2.072 1.196 3.406
Se 0.000 0.000 2.606
Se 2.072 1.196 5.889
```

## Properties
* space-group type: No. 156
* energy: -3.4192 eV/atom

***

# Zr2CuBi2

A relaxed Zr2CuBi2 crystal (GGA-PBE, OQMD via LeMat-Bulk).

The structure in extended XYZ format:
```
5
Lattice="-2.157 2.157 7.087 2.157 -2.157 7.087 2.157 2.157 -7.087" Properties=species:S:1:pos:R:3 pbc="T T T"
Zr 0.000 0.000 1.340
Zr 0.000 0.000 12.834
Cu 0.000 0.000 7.087
Bi 2.157 0.000 3.543
Bi 0.000 2.157 3.543
```

## Properties
* space-group type: No. 139
* energy: -5.3166 eV/atom

***

# Ba3Pt2

A relaxed Ba3Pt2 crystal (GGA-PBE, OQMD via LeMat-Bulk).

The structure in extended XYZ format:
```
5
Lattice="5.212 0.000 0.000 -2.606 4.514 0.000 0.000 0.000 7.388" Properties=species:S:1:pos:R:3 pbc="T T T"
Ba 0.000 0.000 0.000
Ba 0.000 3.009 4.902
Ba 2.606 1.505 2.487
Pt 0.000 3.009 1.473
Pt 2.606 1.505 5.916
```

## Properties
* energy above the lowest structure with this stoichiometry: 40 meV per atom
* space-group type: No. 164
* energy: -4.2006 eV/atom

***

# La2AgSn

A relaxed La2AgSn crystal (GGA-PBE, OQMD via LeMat-Bulk).

The structure in extended XYZ format:
```
24
Lattice="5.492 0.000 0.000 0.000 16.477 0.000 0.000 0.000 7.769" Properties=species:S:1:pos:R:3 pbc="T T T"
La 0.000 0.000 1.942
La 0.000 0.000 5.827
La 0.000 5.492 1.942
La 0.000 5.492 5.827
La 0.000 10.984 1.942
La 0.000 10.984 5.827
La 2.746 2.746 1.942
La 2.746 2.746 5.827
La 2.746 8.238 1.942
La 2.746 8.238 5.827
La 2.746 13.731 1.942
La 2.746 13.731 5.827
Ag 0.000 8.238 0.000
Ag 0.006 2.746 0.000
Ag 2.740 10.985 3.885
Ag 2.746 0.000 3.885
Ag 2.752 5.492 3.885
Ag 5.486 13.730 0.000
Sn 5.491 2.746 3.885
Sn 0.000 8.238 3.885
Sn 0.002 13.731 3.885
Sn 2.746 0.000 0.000
Sn 2.745 5.492 0.000
Sn 2.748 10.984 0.000
```

## Properties
* space-group type: No. 58
* energy: -4.7247 eV/atom

***

# ZnH15C8NO

A relaxed ZnH15C8NO crystal (GGA-PBE, OQMD via LeMat-Bulk).

The structure in extended XYZ format:
```
104
Lattice="7.096 -3.646 0.000 7.096 3.646 0.000 -0.187 0.000 16.905" Properties=species:S:1:pos:R:3 pbc="T T T"
Zn 4.357 2.135 15.714
Zn 9.555 2.135 9.643
Zn 4.451 -2.135 7.261
Zn 9.648 -2.135 1.191
H 6.322 3.221 10.659
H 2.642 1.053 4.345
H 5.933 2.715 13.111
H 3.067 0.906 11.026
H 4.017 1.366 6.992
H 7.590 3.221 14.698
H 5.425 1.961 6.088
H 6.195 2.308 3.645
H 4.749 1.297 3.388
H 7.979 2.715 12.246
H 5.465 1.421 12.001
H 3.968 0.436 13.844
H 7.904 2.308 4.807
H 5.066 0.706 8.958
H 6.577 1.266 9.710
H 6.452 1.095 7.940
H 2.549 -1.053 12.797
H 6.309 0.746 2.777
H 8.674 1.961 2.364
H 3.160 -0.906 2.574
H 5.662 0.442 14.297
H 4.062 -0.436 5.391
H 7.335 1.266 15.647
H 7.647 1.095 0.512
H 8.447 1.421 13.356
H 7.790 0.746 5.676
H 5.160 -0.706 0.505
H 5.755 -0.442 5.845
H 3.924 -1.366 15.445
H 9.350 1.297 5.064
H 4.655 -1.297 11.840
H 10.082 1.366 1.460
H 8.251 0.442 11.060
H 8.846 0.706 16.399
H 6.216 -0.746 11.229
H 5.559 -1.421 3.549
H 6.358 -1.095 16.392
H 6.670 -1.266 1.258
H 9.944 0.436 11.513
H 8.344 -0.442 2.607
H 10.845 0.906 14.331
H 5.332 -1.961 14.540
H 7.696 -0.746 14.128
H 11.457 1.053 4.107
H 7.554 -1.095 8.965
H 7.429 -1.266 7.195
H 8.939 -0.706 7.947
H 6.102 -2.308 12.097
H 10.037 -0.436 3.061
H 8.540 -1.421 4.904
H 6.026 -2.715 4.659
H 9.257 -1.297 13.516
H 7.810 -2.308 13.260
H 8.580 -1.961 10.817
H 6.416 -3.221 2.206
H 9.988 -1.366 9.912
H 10.939 -0.906 5.878
H 8.073 -2.715 3.794
H 11.363 -1.053 12.559
H 7.683 -3.221 6.246
C 5.454 2.826 8.742
C 4.509 2.276 6.615
C 5.403 2.323 1.631
C 1.070 0.034 15.499
C 1.164 -0.034 7.047
C 5.132 1.995 12.884
C 5.690 1.643 2.937
C 4.808 1.107 14.086
C 8.458 2.826 16.615
C 5.914 1.402 8.848
C 8.696 2.323 6.822
C 8.780 1.995 12.473
C 9.590 2.276 1.838
C 8.409 1.643 5.516
C 7.998 1.402 16.509
C 9.104 1.107 11.270
C 4.901 -1.107 5.634
C 6.007 -1.402 0.396
C 5.597 -1.643 11.389
C 4.416 -2.276 15.067
C 5.226 -1.995 4.431
C 5.310 -2.323 10.083
C 8.092 -1.402 8.056
C 5.548 -2.826 0.289
C 9.198 -1.107 2.818
C 8.315 -1.643 13.968
C 8.873 -1.995 4.021
C 12.842 0.034 9.857
C 12.935 -0.034 1.405
C 8.603 -2.323 15.274
C 9.496 -2.276 10.290
C 8.551 -2.826 8.163
N 2.110 0.415 9.231
N 2.203 -0.415 0.778
N 11.802 0.415 16.126
N 11.896 -0.415 7.674
O 4.702 1.600 0.777
O 9.397 1.600 7.675
O 4.609 -1.600 9.229
O 9.303 -1.600 16.127
```

## Properties
* space-group type: No. 15
* energy: -5.5232 eV/atom

***

# BePtSeO

A relaxed BePtSeO crystal (GGA-PBE, OQMD via LeMat-Bulk).

The structure in extended XYZ format:
```
16
Lattice="6.253 0.000 0.000 0.000 6.437 0.000 0.000 0.000 5.909" Properties=species:S:1:pos:R:3 pbc="T T T"
Be 0.606 0.903 0.000
Be 2.520 0.903 2.954
Be 3.733 5.534 0.000
Be 5.647 5.534 2.954
Pt 0.019 3.149 2.054
Pt 3.108 3.149 5.009
Pt 3.145 3.288 2.054
Pt 6.235 3.288 5.009
Se 0.395 1.099 3.508
Se 2.732 1.099 0.554
Se 3.521 5.338 3.508
Se 5.859 5.338 0.554
O 0.418 4.541 3.491
O 2.708 4.541 0.536
O 3.545 1.896 3.491
O 5.835 1.896 0.536
```

## Properties
* energy above the lowest structure with this stoichiometry: 265 meV per atom
* space-group type: No. 29
* energy: -5.1582 eV/atom

***

# Lu2SnN

A relaxed Lu2SnN crystal (GGA-PBE, OQMD via LeMat-Bulk).

The structure in extended XYZ format:
```
8
Lattice="3.437 0.000 0.000 -1.719 2.977 0.000 0.000 0.000 14.934" Properties=species:S:1:pos:R:3 pbc="T T T"
Lu 0.000 1.985 1.271
Lu 0.000 1.985 6.196
Lu 1.719 0.992 8.738
Lu 1.719 0.992 13.663
Sn 0.000 1.985 11.200
Sn 1.719 0.992 3.733
N 0.000 0.000 0.000
N 0.000 0.000 7.467
```

## Properties
* space-group type: No. 194
* energy: -6.5533 eV/atom

***

# HfScNO

A relaxed HfScNO crystal (GGA-PBE, OQMD via LeMat-Bulk).

The structure in extended XYZ format:
```
16
Lattice="7.525 0.000 0.000 0.000 6.246 0.000 0.000 0.000 4.494" Properties=species:S:1:pos:R:3 pbc="T T T"
Hf 1.010 0.550 1.123
Hf 1.010 2.573 3.370
Hf 6.515 3.673 1.123
Hf 6.515 5.696 3.370
Sc 2.898 3.489 1.123
Sc 2.898 5.881 3.370
Sc 4.627 0.365 1.123
Sc 4.627 2.758 3.370
N 0.866 0.429 3.370
N 0.866 2.694 1.123
N 6.659 3.552 3.370
N 6.659 5.817 1.123
O 2.724 3.762 3.370
O 2.724 5.607 1.123
O 4.801 0.639 3.370
O 4.801 2.484 1.123
```

## Properties
* energy above the lowest structure with this stoichiometry: 79 meV per atom
* space-group type: No. 57
* energy: -9.5838 eV/atom

***

# UReC

A relaxed UReC crystal (GGA-PBE, OQMD via LeMat-Bulk).

The structure in extended XYZ format:
```
9
Lattice="6.414 0.000 0.000 -3.207 5.555 0.000 0.000 0.000 3.613" Properties=species:S:1:pos:R:3 pbc="T T T"
U -1.915 3.317 0.000
U 1.292 2.238 0.000
U 3.830 0.000 0.000
Re -0.801 1.387 1.806
Re 1.602 0.000 1.806
Re 2.406 4.168 1.806
C 0.000 0.000 0.000
C 0.000 3.703 1.806
C 3.207 1.852 1.806
```

## Properties
* space-group type: No. 189
* energy: -10.6241 eV/atom

***

# DyMgFe

A relaxed DyMgFe crystal (GGA-PBE, OQMD via LeMat-Bulk).

The structure in extended XYZ format:
```
3
Lattice="0.000 3.236 3.236 3.236 0.000 3.236 3.236 3.236 0.000" Properties=species:S:1:pos:R:3 pbc="T T T"
Dy 0.000 0.000 0.000
Mg 3.236 3.236 3.236
Fe 1.618 1.618 1.618
```

## Properties
* space-group type: No. 216
* energy: -4.4154 eV/atom

***

# GdTlB

A relaxed GdTlB crystal (GGA-PBE, OQMD via LeMat-Bulk).

The structure in extended XYZ format:
```
3
Lattice="0.000 3.142 3.142 3.142 0.000 3.142 3.142 3.142 0.000" Properties=species:S:1:pos:R:3 pbc="T T T"
Gd 0.000 0.000 0.000
Tl 3.142 3.142 3.142
B 1.571 1.571 1.571
```

## Properties
* energy above the lowest structure with this stoichiometry: 0 meV per atom
* space-group type: No. 216
* energy: -4.3426 eV/atom

***

# AgSnO3

A relaxed AgSnO3 crystal (GGA-PBE, OQMD via LeMat-Bulk).

The structure in extended XYZ format:
```
10
Lattice="2.754 1.590 5.029 -2.754 1.590 5.029 0.000 -3.180 5.029" Properties=species:S:1:pos:R:3 pbc="T T T"
Ag 0.000 0.000 2.125
Ag 0.000 0.000 12.962
Sn 0.000 0.000 5.230
Sn 0.000 0.000 9.858
O -1.106 -1.470 6.170
O -1.826 0.222 8.918
O -0.720 1.693 6.170
O 0.720 -1.693 8.918
O 1.826 -0.222 6.170
O 1.106 1.470 8.918
```

## Properties
* space-group type: No. 148
* energy: -5.1969 eV/atom

***

# Ba2AgPt

A relaxed Ba2AgPt crystal (GGA-PBE, OQMD via LeMat-Bulk).

The structure in extended XYZ format:
```
4
Lattice="0.000 3.805 3.805 3.805 0.000 3.805 3.805 3.805 0.000" Properties=species:S:1:pos:R:3 pbc="T T T"
Ba 0.000 0.000 0.000
Ba 1.903 1.903 1.903
Ag 5.708 5.708 5.708
Pt 3.805 3.805 3.805
```

## Properties
* space-group type: No. 216
* energy: -3.3745 eV/atom

***

# Zr4AlZnC2

A relaxed Zr4AlZnC2 crystal (GGA-PBE, OQMD via LeMat-Bulk).

The structure in extended XYZ format:
```
8
Lattice="3.324 0.000 0.000 -1.662 2.878 0.000 0.000 0.000 14.510" Properties=species:S:1:pos:R:3 pbc="T T T"
Zr 0.000 0.000 2.336
Zr 0.000 0.000 12.174
Zr 1.662 0.959 4.884
Zr 1.662 0.959 9.626
Al 0.000 0.000 7.255
Zn 1.662 0.959 0.000
C 0.000 1.919 3.609
C 0.000 1.919 10.901
```

## Properties
* space-group type: No. 187
* energy: -7.7755 eV/atom

***

# ZrTlTe2AuSe

A relaxed ZrTlTe2AuSe crystal (GGA-PBE, OQMD via LeMat-Bulk).

The structure in extended XYZ format:
```
12
Lattice="2.033 -7.708 0.000 2.033 7.708 0.000 0.000 0.000 10.548" Properties=species:S:1:pos:R:3 pbc="T T T"
Zr 0.000 0.000 0.000
Zr 0.000 0.000 5.274
Tl 2.033 3.869 7.911
Tl 2.033 -3.869 2.637
Te 2.033 2.129 0.384
Te 2.033 2.129 4.890
Te 2.033 -2.129 5.658
Te 2.033 -2.129 10.165
Au 2.033 0.600 2.637
Au 2.033 -0.600 7.911
Se 2.033 6.633 2.637
Se 2.033 -6.633 7.911
```

## Properties
* energy above the lowest structure with this stoichiometry: 75 meV per atom
* space-group type: No. 63
* energy: -4.5847 eV/atom

***

# Au5N

A relaxed Au5N crystal (GGA-PBE, OQMD via LeMat-Bulk).

The structure in extended XYZ format:
```
6
Lattice="5.392 0.000 0.000 -2.696 4.670 0.000 0.000 0.000 4.735" Properties=species:S:1:pos:R:3 pbc="T T T"
Au -1.348 2.335 0.000
Au 0.000 3.113 2.368
Au 2.696 0.000 0.000
Au 1.348 2.335 0.000
Au 2.696 1.557 2.368
N 0.000 0.000 2.368
```

## Properties
* space-group type: No. 191
* energy: -2.9592 eV/atom

***

# KBaSmTe3

A relaxed KBaSmTe3 crystal (GGA-PBE, OQMD via LeMat-Bulk).

The structure in extended XYZ format:
```
12
Lattice="2.456 -7.817 0.000 2.456 7.817 0.000 0.000 0.000 12.008" Properties=species:S:1:pos:R:3 pbc="T T T"
K 2.456 7.381 9.006
K 2.456 -7.381 3.002
Ba 2.456 3.931 3.002
Ba 2.456 -3.931 9.006
Sm 2.456 0.000 0.000
Sm 2.456 0.000 6.004
Te 2.456 5.654 6.371
Te 2.456 5.654 11.642
Te 2.456 1.465 9.006
Te 2.456 -1.465 3.002
Te 2.456 -5.654 0.367
Te 2.456 -5.654 5.638
```

## Properties
* space-group type: No. 63
* energy: -4.0890 eV/atom